Record 1
Computed, not measured: a crystal of SbAsIr2 relaxed with PBEsol at the meta-GGA SCAN level of DFT.

DOS(E_F) = 5.578 states/eV per cell
theoretical density = 14.7 g/cm³
E_form (uncorrected) = 34.3 kJ per mole of atoms
energy relative to the lowest polymorph listed for this composition = 0.0072 eV per atom
size of the total moment = 0.000 μB/f.u.

Lattice parameters (Å, degrees): 4.3039 4.3039 7.0919 90.00 90.00 90.00
Space group I4/mmm (No. 139)
Inequivalent atoms, fractional coordinates:
Sb 0.0000 0.0000 0.0000 [2 per cell]
As 0.0000 0.0000 0.5000 [2 per cell]
Ir 0.0000 0.5000 0.2500 [4 per cell]

***

Record 2
Computed, not measured: a crystal of KBe2Ir relaxed with PBEsol at the meta-GGA SCAN level of DFT.

DOS(E_F) = 5.649 states/eV per cell
ΔE_f = 0.57 eV/atom
theoretical density = 7.0 g/cm³
energy relative to the lowest polymorph listed for this composition = 0.1405 eV per atom
size of the total moment = 0.000 μB/f.u.

Lattice parameters (Å, degrees): 2.7398 2.7398 27.4912 90.00 90.00 120.00
Space group R3m (No. 160, hexagonal axes)
Inequivalent atoms, fractional coordinates:
K 0.0000 0.0000 0.0000 [3 per cell]
Be 0.0000 0.0000 0.2270 [3 per cell]
Be 0.0000 0.0000 0.4942 [3 per cell]
Ir 0.0000 0.0000 0.7659 [3 per cell]

***

Record 3
Computed, not measured: a crystal of Sr2PHN relaxed with PBEsol at the meta-GGA SCAN level of DFT.

DOS(E_F) = 2.717 states/eV per cell
theoretical density = 3.1 g/cm³
E_tot = -67.09 eV per formula unit
size of the total moment = 0.002 μB/f.u.

Lattice parameters (Å, degrees): 5.6355 5.6355 3.6902 90.00 90.00 90.00
Space group P4/mmm (No. 123)
Inequivalent atoms, fractional coordinates:
Sr 0.0000 0.5000 0.0000 [2 per cell]
P 0.0000 0.0000 0.0000 [1 per cell]
H 0.5000 0.5000 0.5000 [1 per cell]
N 0.0000 0.0000 0.5000 [1 per cell]

***

Record 4
Computed, not measured: a crystal of Tm5Si10Ir4 relaxed with PBEsol at the meta-GGA SCAN level of DFT.

DOS(E_F) = 13.610 states/eV per cell
theoretical density = 9.7 g/cm³
E_form (uncorrected) = -95.2 kJ per mole of atoms
size of the total moment = 0.000 μB/f.u.

Lattice parameters (Å, degrees): 12.4561 12.4561 4.1826 90.00 90.00 90.00
Space group P4/mbm (No. 127)
Inequivalent atoms, fractional coordinates:
Tm 0.0000 0.0000 0.0000 [2 per cell]
Tm 0.1154 0.3846 0.5000 [4 per cell]
Tm 0.1747 0.6747 0.5000 [4 per cell]
Si 0.0014 0.8437 0.5000 [8 per cell]
Si 0.0662 0.5662 0.0000 [4 per cell]
Si 0.1646 0.2000 0.0000 [8 per cell]
Ir 0.0195 0.7542 0.0000 [8 per cell]

***

Record 5
Computed, not measured: a crystal of Na2TaMoIr relaxed with PBEsol at the meta-GGA SCAN level of DFT.

DOS(E_F) = 5.393 states/eV per cell
ΔE_f = 2.39 eV/atom
theoretical density = 7.2 g/cm³
size of the total moment = 1.736 μB/f.u.

Lattice parameters (Å, degrees): 5.1056 5.1056 4.5591 90.00 90.00 90.00
Space group P4/mmm (No. 123)
Inequivalent atoms, fractional coordinates:
Na 0.0000 0.5000 0.0000 [2 per cell]
Ta 0.0000 0.0000 0.0000 [1 per cell]
Mo 0.0000 0.0000 0.5000 [1 per cell]
Ir 0.5000 0.5000 0.5000 [1 per cell]

***

Record 6
Computed, not measured: a crystal of Te2RuS relaxed with PBEsol at the meta-GGA SCAN level of DFT.

DOS(E_F) = 10.066 states/eV per cell
theoretical density = 6.4 g/cm³
E_form (uncorrected) = 27.4 kJ per mole of atoms
size of the total moment = 0.000 μB/f.u.

Lattice parameters (Å, degrees): 6.7958 6.7958 8.6892 90.00 90.00 90.00
Space group I-42d (No. 122)
Inequivalent atoms, fractional coordinates:
Te 0.2156 0.7500 0.1250 [8 per cell]
Ru 0.0000 0.0000 0.0000 [4 per cell]
S 0.0000 0.0000 0.5000 [4 per cell]